Record 1
{
  "formula": "TlBF5",
  "functional": "PBE",
  "state": "optimized geometry",
  "density_g_cm3": 4.2,
  "raw_formation_energy_ev_per_atom": -2.440,
  "magnetic_moment_mub_per_cell": 0.000,
  "space_group": "P-1 (2)",
  "lattice_angstrom": [[5.460, 0.000, 0.000], [0.708, 6.586, 0.000], [2.127, 2.935, 6.824]],
  "species": ["Tl", "Tl", "B", "B", "F", "F", "F", "F", "F", "F", "F", "F", "F", "F"],
  "frac_coords": [[0.000, 0.000, 0.000], [0.500, 0.500, 0.500], [0.098, 0.330, 0.289], [0.902, 0.670, 0.711], [0.152, 0.543, 0.147], [0.177, 0.703, 0.641], [0.184, 0.308, 0.458], [0.205, 0.167, 0.224], [0.446, 0.246, 0.762], [0.554, 0.754, 0.238], [0.795, 0.833, 0.776], [0.816, 0.692, 0.542], [0.823, 0.297, 0.359], [0.848, 0.457, 0.853]]
}

=====

Record 2
{
  "formula": "Ce8SiOs2",
  "functional": "PBE",
  "state": "optimized geometry",
  "density_g_cm3": 9.6,
  "raw_formation_energy_ev_per_atom": -0.179,
  "magnetic_moment_mub_per_cell": 0.003,
  "space_group": "C2/m (12)",
  "lattice_angstrom": [[8.822, -2.294, 0.000], [8.822, 2.294, 0.000], [-1.526, 0.000, 6.512]],
  "species": ["Ce", "Ce", "Ce", "Ce", "Ce", "Ce", "Ce", "Ce", "Si", "Os", "Os"],
  "frac_coords": [[0.005, 0.005, 0.241], [0.217, 0.217, 0.775], [0.335, 0.335, 0.533], [0.410, 0.410, 0.053], [0.590, 0.590, 0.947], [0.665, 0.665, 0.467], [0.783, 0.783, 0.225], [0.995, 0.995, 0.759], [0.500, 0.500, 0.500], [0.166, 0.166, 0.163], [0.834, 0.834, 0.837]]
}

=====

Record 3
{
  "formula": "Ba6PdPtAu2",
  "functional": "PBE",
  "state": "optimized geometry",
  "delta_e_f_ev_per_fu": -5.79,
  "density_g_cm3": 5.9,
  "magnetic_moment_mub_per_cell": 0.000,
  "space_group": "P1 (1)",
  "lattice_angstrom": [[8.110, 0.000, 0.000], [4.054, 7.031, 0.000], [4.053, 2.343, 7.526]],
  "species": ["Ba", "Ba", "Ba", "Ba", "Ba", "Ba", "Pd", "Pt", "Au", "Au"],
  "frac_coords": [[0.000, 0.000, 0.000], [0.134, 0.866, 0.505], [0.350, 0.360, 0.000], [0.505, 0.205, 0.505], [0.640, 0.710, 0.000], [0.845, 0.495, 0.505], [0.242, 0.603, 0.263], [0.742, 0.102, 0.764], [0.422, 0.782, 0.725], [0.923, 0.284, 0.219]]
}

=====

Record 4
{
  "formula": "UTl2Se2Cl2",
  "functional": "PBE",
  "state": "optimized geometry",
  "density_g_cm3": 5.8,
  "raw_formation_energy_ev_per_atom": -1.060,
  "magnetic_moment_mub_per_cell": 2.000,
  "space_group": "I4/mmm (139)",
  "lattice_angstrom": [[-2.796, 2.796, 7.982], [2.796, -2.796, 7.982], [2.796, 2.796, -7.982]],
  "species": ["U", "Tl", "Tl", "Se", "Se", "Cl", "Cl"],
  "frac_coords": [[0.000, 0.000, 0.000], [0.376, 0.376, 0.000], [0.624, 0.624, 0.000], [0.000, 0.500, 0.500], [0.500, 0.000, 0.500], [0.165, 0.165, 0.000], [0.835, 0.835, 0.000]]
}

=====

Record 5
{
  "formula": "LaZn8Pd4",
  "functional": "PBE",
  "state": "optimized geometry",
  "delta_e_f_ev_per_fu": -5.84,
  "density_g_cm3": 8.3,
  "magnetic_moment_mub_per_cell": 0.000,
  "space_group": "I4/mmm (139)",
  "lattice_angstrom": [[-4.444, 4.444, 2.744], [4.444, -4.444, 2.744], [4.444, 4.444, -2.744]],
  "species": ["La", "Zn", "Zn", "Zn", "Zn", "Zn", "Zn", "Zn", "Zn", "Pd", "Pd", "Pd", "Pd"],
  "frac_coords": [[0.000, 0.000, 0.000], [0.000, 0.352, 0.352], [0.000, 0.648, 0.648], [0.280, 0.500, 0.780], [0.352, 0.000, 0.352], [0.500, 0.280, 0.780], [0.500, 0.720, 0.220], [0.648, 0.000, 0.648], [0.720, 0.500, 0.220], [0.000, 0.000, 0.500], [0.000, 0.500, 0.000], [0.500, 0.000, 0.000], [0.500, 0.500, 0.500]]
}

=====

Record 6
{
  "formula": "SrBe2SnMo",
  "functional": "PBE",
  "state": "optimized geometry",
  "delta_e_f_ev_per_fu": 12.65,
  "density_g_cm3": 4.5,
  "magnetic_moment_mub_per_cell": 0.000,
  "space_group": "P4/mmm (123)",
  "lattice_angstrom": [[4.597, 0.000, 0.000], [0.000, 4.597, 0.000], [0.000, 0.000, 5.632]],
  "species": ["Sr", "Be", "Be", "Sn", "Mo"],
  "frac_coords": [[0.000, 0.000, 0.000], [0.000, 0.500, 0.000], [0.500, 0.000, 0.000], [0.000, 0.000, 0.500], [0.500, 0.500, 0.500]]
}

=====

Record 7
{
  "formula": "LuWC2",
  "functional": "PBE",
  "state": "optimized geometry",
  "delta_e_f_ev_per_fu": -1.13,
  "density_g_cm3": 13.2,
  "magnetic_moment_mub_per_cell": 0.011,
  "space_group": "R-3m (166)",
  "lattice_angstrom": [[1.598, 0.922, 5.444], [-1.598, 0.922, 5.444], [0.000, -1.845, 5.444]],
  "species": ["Lu", "W", "C", "C"],
  "frac_coords": [[0.000, 0.000, 0.000], [0.500, 0.500, 0.500], [0.241, 0.241, 0.241], [0.759, 0.759, 0.759]]
}

=====

Record 8
{
  "formula": "Pm2AgO",
  "functional": "PBE",
  "state": "optimized geometry",
  "density_g_cm3": 8.7,
  "raw_formation_energy_ev_per_atom": -0.984,
  "magnetic_moment_mub_per_cell": 0.000,
  "e_above_lowest_polymorph_mev_per_atom": 348,
  "space_group": "P4/mmm (123)",
  "lattice_angstrom": [[3.163, 0.000, 0.000], [0.000, 3.163, 0.000], [0.000, 0.000, 7.881]],
  "species": ["Pm", "Pm", "Ag", "O"],
  "frac_coords": [[0.000, 0.000, 0.203], [0.000, 0.000, 0.797], [0.500, 0.500, 0.500], [0.500, 0.500, 0.000]]
}

=====

Record 9
{
  "formula": "KTmMnSe3",
  "functional": "PBE",
  "state": "optimized geometry",
  "density_g_cm3": 4.7,
  "raw_formation_energy_ev_per_atom": -1.288,
  "magnetic_moment_mub_per_cell": 10.010,
  "space_group": "P2_1/m (11)",
  "lattice_angstrom": [[9.012, 0.000, 0.000], [0.000, 4.180, 0.000], [-3.045, 0.000, 9.378]],
  "species": ["K", "K", "Tm", "Tm", "Mn", "Mn", "Se", "Se", "Se", "Se", "Se", "Se"],
  "frac_coords": [[0.208, 0.250, 0.233], [0.792, 0.750, 0.767], [0.333, 0.750, 0.861], [0.667, 0.250, 0.139], [0.086, 0.250, 0.610], [0.914, 0.750, 0.390], [0.114, 0.250, 0.865], [0.211, 0.750, 0.540], [0.462, 0.750, 0.158], [0.538, 0.250, 0.842], [0.789, 0.250, 0.460], [0.886, 0.750, 0.135]]
}

=====

Record 10
{
  "formula": "ZrFe2Re",
  "functional": "PBE",
  "state": "optimized geometry",
  "delta_e_f_ev_per_fu": 0.29,
  "density_g_cm3": 10.9,
  "magnetic_moment_mub_per_cell": 3.887,
  "space_group": "Cm (8)",
  "lattice_angstrom": [[4.941, -1.524, 0.000], [4.941, 1.524, 0.000], [-1.945, 0.000, 3.937]],
  "species": ["Zr", "Fe", "Fe", "Re"],
  "frac_coords": [[0.000, 0.000, 0.000], [0.495, 0.495, 0.495], [0.763, 0.763, 0.263], [0.232, 0.232, 0.731]]
}

=====

Record 11
{
  "formula": "Li15Si4",
  "functional": "PBE",
  "state": "optimized geometry",
  "density_g_cm3": 1.2,
  "raw_formation_energy_ev_per_atom": -0.231,
  "magnetic_moment_mub_per_cell": 0.000,
  "space_group": "I-43d (220)",
  "lattice_angstrom": [[-5.297, 5.297, 5.297], [5.297, -5.297, 5.297], [5.297, 5.297, -5.297]],
  "species": ["Li", "Li", "Li", "Li", "Li", "Li", "Li", "Li", "Li", "Li", "Li", "Li", "Li", "Li", "Li", "Li", "Li", "Li", "Li", "Li", "Li", "Li", "Li", "Li", "Li", "Li", "Li", "Li", "Li", "Li", "Si", "Si", "Si", "Si", "Si", "Si", "Si", "Si"],
  "frac_coords": [[0.031, 0.617, 0.341], [0.086, 0.310, 0.969], [0.117, 0.531, 0.841], [0.125, 0.875, 0.250], [0.159, 0.777, 0.690], [0.190, 0.277, 0.659], [0.223, 0.414, 0.383], [0.250, 0.125, 0.875], [0.277, 0.659, 0.190], [0.310, 0.969, 0.086], [0.341, 0.031, 0.617], [0.375, 0.625, 0.750], [0.383, 0.223, 0.414], [0.414, 0.383, 0.223], [0.469, 0.810, 0.586], [0.531, 0.841, 0.117], [0.586, 0.469, 0.810], [0.617, 0.341, 0.031], [0.625, 0.750, 0.375], [0.659, 0.190, 0.277], [0.690, 0.159, 0.777], [0.723, 0.883, 0.914], [0.750, 0.375, 0.625], [0.777, 0.690, 0.159], [0.810, 0.586, 0.469], [0.841, 0.117, 0.531], [0.875, 0.250, 0.125], [0.883, 0.914, 0.723], [0.914, 0.723, 0.883], [0.969, 0.086, 0.310], [0.000, 0.416, 0.500], [0.000, 0.916, 0.500], [0.084, 0.084, 0.084], [0.416, 0.500, 0.000], [0.500, 0.000, 0.416], [0.500, 0.000, 0.916], [0.584, 0.584, 0.584], [0.916, 0.500, 0.000]]
}

=====

Record 12
{
  "formula": "BeSbTe2C",
  "functional": "PBE",
  "state": "optimized geometry",
  "density_g_cm3": 6.2,
  "raw_formation_energy_ev_per_atom": 1.327,
  "magnetic_moment_mub_per_cell": 0.000,
  "e_above_lowest_polymorph_mev_per_atom": 0,
  "space_group": "P4/mmm (123)",
  "lattice_angstrom": [[4.819, 0.000, 0.000], [0.000, 4.819, 0.000], [0.000, 0.000, 4.609]],
  "species": ["Be", "Sb", "Te", "Te", "C"],
  "frac_coords": [[0.000, 0.000, 0.000], [0.500, 0.500, 0.000], [0.000, 0.500, 0.500], [0.500, 0.000, 0.500], [0.500, 0.500, 0.500]]
}

=====

Record 13
{
  "formula": "Ba2InGe2Au6",
  "functional": "PBE",
  "state": "optimized geometry",
  "delta_e_f_ev_per_fu": -4.19,
  "density_g_cm3": 8.2,
  "magnetic_moment_mub_per_cell": 0.000,
  "space_group": "R-3m (166)",
  "lattice_angstrom": [[3.524, 2.035, 8.065], [-3.524, 2.035, 8.065], [0.000, -4.069, 8.065]],
  "species": ["Ba", "Ba", "In", "Ge", "Ge", "Au", "Au", "Au", "Au", "Au", "Au"],
  "frac_coords": [[0.228, 0.228, 0.228], [0.772, 0.772, 0.772], [0.000, 0.000, 0.000], [0.447, 0.447, 0.447], [0.553, 0.553, 0.553], [0.170, 0.770, 0.770], [0.230, 0.230, 0.830], [0.230, 0.830, 0.230], [0.770, 0.170, 0.770], [0.770, 0.770, 0.170], [0.830, 0.230, 0.230]]
}

=====

Record 14
{
  "formula": "Rb2Tl4Hg3Sb",
  "functional": "PBE",
  "state": "optimized geometry",
  "density_g_cm3": 7.9,
  "raw_formation_energy_ev_per_atom": -0.136,
  "magnetic_moment_mub_per_cell": 0.000,
  "space_group": "P-4m2 (115)",
  "lattice_angstrom": [[5.331, 0.000, 0.000], [0.000, 5.331, 0.000], [0.000, 0.000, 12.708]],
  "species": ["Rb", "Rb", "Tl", "Tl", "Tl", "Tl", "Hg", "Hg", "Hg", "Sb"],
  "frac_coords": [[0.000, 0.500, 0.241], [0.500, 0.000, 0.759], [0.000, 0.000, 0.500], [0.000, 0.500, 0.869], [0.500, 0.000, 0.131], [0.500, 0.500, 0.500], [0.000, 0.000, 0.000], [0.000, 0.500, 0.627], [0.500, 0.000, 0.373], [0.500, 0.500, 0.000]]
}

=====

Record 15
{
  "formula": "ZrSc2TaN4",
  "functional": "PBE",
  "state": "optimized geometry",
  "density_g_cm3": 7.6,
  "raw_formation_energy_ev_per_atom": -1.679,
  "magnetic_moment_mub_per_cell": 0.000,
  "space_group": "P2/m (10)",
  "lattice_angstrom": [[5.504, 0.000, 0.000], [0.000, 3.173, 0.000], [-1.828, 0.000, 5.235]],
  "species": ["Zr", "Sc", "Sc", "Ta", "N", "N", "N", "N"],
  "frac_coords": [[0.000, 0.000, 0.000], [0.000, 0.500, 0.500], [0.500, 0.000, 0.500], [0.500, 0.500, 0.000], [0.257, 0.500, 0.250], [0.260, 0.000, 0.754], [0.740, 0.000, 0.246], [0.743, 0.500, 0.750]]
}

=====

Record 16
{
  "formula": "RbNpTe3Pb",
  "functional": "PBE",
  "state": "optimized geometry",
  "density_g_cm3": 6.1,
  "raw_formation_energy_ev_per_atom": -0.667,
  "magnetic_moment_mub_per_cell": 7.826,
  "space_group": "P2_1/m (11)",
  "lattice_angstrom": [[9.569, 0.000, 0.000], [0.000, 4.593, 0.000], [-3.651, 0.000, 11.363]],
  "species": ["Rb", "Rb", "Np", "Np", "Te", "Te", "Te", "Te", "Te", "Te", "Pb", "Pb"],
  "frac_coords": [[0.217, 0.250, 0.257], [0.783, 0.750, 0.743], [0.359, 0.750, 0.844], [0.641, 0.250, 0.156], [0.121, 0.250, 0.808], [0.356, 0.750, 0.579], [0.409, 0.750, 0.113], [0.591, 0.250, 0.887], [0.644, 0.250, 0.421], [0.879, 0.750, 0.192], [0.142, 0.250, 0.563], [0.858, 0.750, 0.437]]
}

=====

Record 17
{
  "formula": "MgReOs",
  "functional": "PBE",
  "state": "optimized geometry",
  "delta_e_f_ev_per_fu": 0.85,
  "density_g_cm3": 13.5,
  "magnetic_moment_mub_per_cell": 0.000,
  "e_above_lowest_polymorph_mev_per_atom": 168,
  "space_group": "Fddd (70)",
  "lattice_angstrom": [[0.000, 4.402, 8.850], [2.532, 0.000, 8.850], [2.532, 4.402, 0.000]],
  "species": ["Mg", "Mg", "Mg", "Mg", "Re", "Re", "Re", "Re", "Os", "Os", "Os", "Os"],
  "frac_coords": [[0.047, 0.047, 0.203], [0.203, 0.203, 0.047], [0.797, 0.797, 0.953], [0.953, 0.953, 0.797], [0.198, 0.552, 0.198], [0.448, 0.802, 0.448], [0.552, 0.198, 0.552], [0.802, 0.448, 0.802], [0.256, 0.256, 0.494], [0.494, 0.494, 0.256], [0.506, 0.506, 0.744], [0.744, 0.744, 0.506]]
}

=====

Record 18
{
  "formula": "Ac4La2Sn3O2",
  "functional": "PBE",
  "state": "optimized geometry",
  "density_g_cm3": 7.4,
  "raw_formation_energy_ev_per_atom": -1.395,
  "magnetic_moment_mub_per_cell": 0.000,
  "space_group": "I4/mmm (139)",
  "lattice_angstrom": [[-2.561, 2.561, 13.390], [2.561, -2.561, 13.390], [2.561, 2.561, -13.390]],
  "species": ["Ac", "Ac", "Ac", "Ac", "La", "La", "Sn", "Sn", "Sn", "O", "O"],
  "frac_coords": [[0.084, 0.584, 0.500], [0.416, 0.916, 0.500], [0.584, 0.084, 0.500], [0.916, 0.416, 0.500], [0.197, 0.197, 0.000], [0.803, 0.803, 0.000], [0.322, 0.322, 0.000], [0.500, 0.500, 0.000], [0.678, 0.678, 0.000], [0.107, 0.107, 0.000], [0.893, 0.893, 0.000]]
}

=====

Record 19
{
  "formula": "RbScTi2Rh",
  "functional": "PBE",
  "state": "optimized geometry",
  "delta_e_f_ev_per_fu": 5.75,
  "density_g_cm3": 4.2,
  "magnetic_moment_mub_per_cell": 2.758,
  "space_group": "P4/mmm (123)",
  "lattice_angstrom": [[5.222, 0.000, 0.000], [0.000, 5.222, 0.000], [0.000, 0.000, 4.779]],
  "species": ["Rb", "Sc", "Ti", "Ti", "Rh"],
  "frac_coords": [[0.000, 0.000, 0.000], [0.500, 0.500, 0.500], [0.000, 0.500, 0.500], [0.500, 0.000, 0.500], [0.500, 0.500, 0.000]]
}

=====

Record 20
{
  "formula": "CuPbSeCl2",
  "functional": "PBE",
  "state": "optimized geometry",
  "density_g_cm3": 4.7,
  "raw_formation_energy_ev_per_atom": 0.328,
  "magnetic_moment_mub_per_cell": 0.000,
  "space_group": "P4/mmm (123)",
  "lattice_angstrom": [[4.853, 0.000, 0.000], [0.000, 4.853, 0.000], [0.000, 0.000, 6.279]],
  "species": ["Cu", "Pb", "Se", "Cl", "Cl"],
  "frac_coords": [[0.000, 0.000, 0.000], [0.500, 0.500, 0.000], [0.500, 0.500, 0.500], [0.000, 0.500, 0.500], [0.500, 0.000, 0.500]]
}

=====

Record 21
{
  "formula": "CaSbI2N",
  "functional": "PBE",
  "state": "optimized geometry",
  "density_g_cm3": 3.0,
  "raw_formation_energy_ev_per_atom": 0.732,
  "magnetic_moment_mub_per_cell": 0.888,
  "e_above_lowest_polymorph_mev_per_atom": 675,
  "space_group": "P4/mmm (123)",
  "lattice_angstrom": [[6.074, 0.000, 0.000], [0.000, 6.074, 0.000], [0.000, 0.000, 6.373]],
  "species": ["Ca", "Sb", "I", "I", "N"],
  "frac_coords": [[0.000, 0.000, 0.000], [0.000, 0.000, 0.500], [0.000, 0.500, 0.000], [0.500, 0.000, 0.000], [0.500, 0.500, 0.500]]
}

=====

Record 22
{
  "formula": "SrMn2Re",
  "functional": "PBE",
  "state": "optimized geometry",
  "delta_e_f_ev_per_fu": 3.74,
  "density_g_cm3": 9.1,
  "magnetic_moment_mub_per_cell": 5.099,
  "e_above_lowest_polymorph_mev_per_atom": 381,
  "space_group": "R3m (160)",
  "lattice_angstrom": [[1.456, 0.841, 9.559], [-1.456, 0.841, 9.559], [0.000, -1.682, 9.559]],
  "species": ["Sr", "Mn", "Mn", "Re"],
  "frac_coords": [[0.000, 0.000, 0.000], [0.505, 0.505, 0.505], [0.768, 0.768, 0.768], [0.236, 0.236, 0.236]]
}

=====

Record 23
{
  "formula": "RePtIO2",
  "functional": "PBE",
  "state": "optimized geometry",
  "density_g_cm3": 7.8,
  "raw_formation_energy_ev_per_atom": 0.955,
  "magnetic_moment_mub_per_cell": 4.049,
  "e_above_lowest_polymorph_mev_per_atom": 1402,
  "space_group": "P4/mmm (123)",
  "lattice_angstrom": [[3.860, 0.000, 0.000], [0.000, 3.860, 0.000], [0.000, 0.000, 7.699]],
  "species": ["Re", "Pt", "I", "O", "O"],
  "frac_coords": [[0.000, 0.000, 0.000], [0.500, 0.500, 0.500], [0.500, 0.500, 0.000], [0.000, 0.500, 0.500], [0.500, 0.000, 0.500]]
}